Entry 1:
Density functional theory data (PBE-GGA) for crystalline Zr2TiTe at its relaxed geometry.

```
data_Zr2TiTe
_space_group_name_H-M_alt 'C 1 2/m 1'
_space_group_IT_number 12
_cell_length_a 14.8350
_cell_length_b 3.6439
_cell_length_c 6.8053
_cell_angle_alpha 90.00
_cell_angle_beta 90.01
_cell_angle_gamma 90.00
loop_
_space_group_symop_operation_xyz
'x,y,z'
'-x,-y,-z'
'-x,y,-z'
'x,-y,z'
'x+1/2,y+1/2,z'
'-x+1/2,-y+1/2,-z'
'-x+1/2,y+1/2,-z'
'x+1/2,-y+1/2,z'
loop_
_atom_site_label
_atom_site_fract_x
_atom_site_fract_y
_atom_site_fract_z
Zr1 0.1127 0.0000 0.0206
Zr2 0.1129 0.0000 0.4793
Ti1 0.0052 0.5000 0.7494
Te1 0.2103 0.5000 0.7502
```

Values from the calculation:
Total DFT energy (no corrections)   -7.38 eV per atom

Entry 2:
Density functional theory data (PBE-GGA) for crystalline Zr2TiTe at its relaxed geometry.

```
data_Zr2TiTe
_space_group_name_H-M_alt 'I -4 2 d'
_space_group_IT_number 122
_space_group_name_Hall 'I -4 2bw'
_cell_length_a 4.1831
_cell_length_b 4.1831
_cell_length_c 20.7659
_cell_angle_alpha 90.00
_cell_angle_beta 90.00
_cell_angle_gamma 90.00
loop_
_atom_site_label
_atom_site_fract_x
_atom_site_fract_y
_atom_site_fract_z
Zr1 0.2479 0.2500 0.1250
Ti1 0.0000 0.0000 0.5000
Te1 0.0000 0.0000 0.0000
```

Values from the calculation:
Total DFT energy (no corrections)   -6.96 eV per atom

Entry 3:
Density functional theory data (PBE-GGA) for crystalline ZrTiTe at its relaxed geometry.

```
data_ZrTiTe
_space_group_name_H-M_alt 'C 1 2/m 1'
_space_group_IT_number 12
_cell_length_a 17.0646
_cell_length_b 3.5911
_cell_length_c 9.0915
_cell_angle_alpha 90.00
_cell_angle_beta 95.85
_cell_angle_gamma 90.00
loop_
_space_group_symop_operation_xyz
'x,y,z'
'-x,-y,-z'
'-x,y,-z'
'x,-y,z'
'x+1/2,y+1/2,z'
'-x+1/2,-y+1/2,-z'
'-x+1/2,y+1/2,-z'
'x+1/2,-y+1/2,z'
loop_
_atom_site_label
_atom_site_fract_x
_atom_site_fract_y
_atom_site_fract_z
Zr1 0.0240 0.0000 0.3360
Zr2 0.1067 0.5000 0.8380
Ti1 0.2330 0.0000 0.3593
Ti2 0.2485 0.0000 0.8779
Te1 0.1243 0.0000 0.0976
Te2 0.1422 0.0000 0.5958
```

Values from the calculation:
Offset from the most stable computed form   251.2 meV/atom

One value per record, in order, for calculated density: 6.46 6.54 6.39 g/cm3.
One value per record, in order, for calculated volume: 367.9 363.4 554.2 Å³/cell.